ThZn3Cr4O12: relaxed, PBE+U.

Results
The crystal system is cubic. As for the total energy: -138.580 eV per cell. Its density of states at the Fermi level is 15.30 states/eV/f.u.

a = 6.512 Å, b = 6.512 Å, c = 6.512 Å
α = 109.47°, β = 109.47°, γ = 109.47°
Fractional positions:
Th 0.000 0.000 0.000
Zn 0.000 0.500 0.500
Zn 0.500 0.000 0.500
Zn 0.500 0.500 0.000
Cr 0.000 0.000 0.500
Cr 0.000 0.500 0.000
Cr 0.500 0.000 0.000
Cr 0.500 0.500 0.500
O 0.119 0.823 0.296
O 0.177 0.296 0.473
O 0.177 0.704 0.881
O 0.296 0.119 0.823
O 0.296 0.473 0.177
O 0.473 0.177 0.296
O 0.527 0.823 0.704
O 0.704 0.527 0.823
O 0.704 0.881 0.177
O 0.823 0.296 0.119
O 0.823 0.704 0.527
O 0.881 0.177 0.704